*one*
The following is a DFT calculation (GGA+U) of crystalline KFe3F at its relaxed geometry.

Output
- crystal system = cubic
- total magnetic moment (μB per formula unit) = 9.921

Lattice parameters (Å, degrees): 5.395 5.395 5.395 90.00 90.00 90.00
Space group Pm-3m (No. 221)
Symmetry-distinct sites (fractional):
K  0.000  0.000  0.000 [1 per cell]
Fe  0.000  0.000  0.500 [3 per cell]
F  0.500  0.500  0.500 [1 per cell]



*two*
The following is a DFT calculation (GGA+U) of crystalline KFe3F at its relaxed geometry.

Output
- crystal system = cubic
- total magnetic moment (μB per formula unit) = 9.596

Lattice parameters (Å, degrees): 4.712 4.712 4.712 90.00 90.00 90.00
Space group Pm-3m (No. 221)
Symmetry-distinct sites (fractional):
K  0.000  0.000  0.000 [1 per cell]
Fe  0.000  0.500  0.500 [3 per cell]
F  0.500  0.500  0.500 [1 per cell]



Of them, the most stable is *two* and the least stable is *one*.



*one*
The following is a DFT calculation (GGA+U) of crystalline KLaFe2F at its relaxed geometry.

Output
- crystal system = tetragonal
- total magnetic moment (μB per formula unit) = 5.434

Lattice parameters (Å, degrees): 5.300 5.300 9.862 90.00 90.00 90.00
Space group P4/mmm (No. 123)
Symmetry-distinct sites (fractional):
K  0.000  0.000  0.000 [1 per cell]
La  0.000  0.000  0.500 [1 per cell]
Fe  0.000  0.500  0.500 [2 per cell]
F  0.500  0.500  0.000 [1 per cell]



*two*
The following is a DFT calculation (GGA+U) of crystalline KLaFe2F at its relaxed geometry.

Output
- crystal system = tetragonal
- total magnetic moment (μB per formula unit) = 1.957

Lattice parameters (Å, degrees): 5.650 5.650 4.512 90.00 90.00 90.00
Space group P4/mmm (No. 123)
Symmetry-distinct sites (fractional):
K  0.000  0.000  0.000 [1 per cell]
La  0.500  0.500  0.000 [1 per cell]
Fe  0.000  0.500  0.500 [2 per cell]
F  0.500  0.500  0.500 [1 per cell]



Of them, the most stable is *two* and the least stable is *one*.